Hg2MoAs: relaxed, PBE.

Output
The calculation puts the density of states at the Fermi level at 1.8 states/eV/cell. The calculation puts the total moment at 0.00 μB per cell. For the formation energy, the calculation gives 20.2 kJ per mole of atoms. Its total energy is -15.2 eV for the cell shown.

Structure (POSCAR):
```
Hg2MoAs
1.0
3.225 0.000 0.000
0.000 3.225 0.000
0.000 0.000 8.012
As Mo Hg
1 1 2
direct
0.500 0.500 0.690 As
0.000 0.000 0.538 Mo
0.000 0.000 0.980 Hg
0.500 0.500 0.292 Hg
```